Compound: Er6TlSi2
Source: the Alexandria database
Functional: PBE
Structure: relaxed

```
Er6TlSi2
1.0
-4.708 4.781 5.118
4.708 -4.781 5.118
4.708 4.781 -5.118
Er Tl Si
12 2 4
Cartesian
4.708 2.819 -2.650
2.614 1.770 0.000
6.802 1.770 0.000
1.912 4.781 -1.835
2.796 0.000 3.283
0.000 1.962 2.468
4.708 2.819 2.650
1.912 4.781 1.835
2.796 0.000 6.953
-2.094 3.011 5.118
2.094 3.011 5.118
0.000 1.962 7.768
0.000 0.000 0.000
0.000 0.000 5.118
4.708 0.000 1.194
0.000 3.518 0.000
0.000 6.043 0.000
0.000 4.781 3.923
```

Properties
Its formation energy (no corrections) is -0.50 eV per atom. Its symmetry is Immm (71). The total energy comes out at -90.3 eV/cell.

Compound: Er5Tl2Si
Source: the Alexandria database
Functional: PBE
Structure: relaxed

```
Er5Tl2Si
1.0
6.936 0.000 0.000
0.000 12.520 0.000
0.000 0.000 4.886
Er Tl Si
10 4 2
Cartesian
0.000 0.000 0.000
0.964 3.529 0.000
1.166 7.353 2.443
2.302 1.092 2.443
2.504 9.789 0.000
3.468 6.260 0.000
4.432 2.731 0.000
4.635 11.428 2.443
5.770 5.168 2.443
5.972 8.992 0.000
0.695 10.514 2.443
2.773 4.254 2.443
4.163 8.266 2.443
6.241 2.006 2.443
0.000 6.260 0.000
3.468 0.000 0.000
```

Properties
Its formation energy (no corrections) is -0.39 eV per atom. Its symmetry is Pbam (55). The total energy comes out at -72.3 eV/cell.

Compound: ErTlSi
Source: the Alexandria database
Functional: PBE
Structure: relaxed

```
ErTlSi
1.0
1.863 1.075 12.321
-1.863 1.075 12.321
0.000 -2.151 12.321
Er Tl Si
2 2 2
Cartesian
0.000 0.000 3.673
0.000 0.000 33.289
0.000 0.000 13.479
0.000 0.000 23.484
0.000 0.000 6.679
0.000 0.000 30.283
```

Properties
Its formation energy (no corrections) is -0.29 eV per atom. Its symmetry is R-3m (166). The total energy comes out at -26.5 eV/cell.

Compound: Er2TmSi
Source: the Alexandria database
Functional: PBE
Structure: relaxed

```
Er2TmSi
1.0
1.754 1.012 10.698
-1.754 1.012 10.698
0.000 -2.025 10.698
Er Tm Si
2 1 1
Cartesian
0.000 0.000 3.383
0.000 0.000 28.711
0.000 0.000 0.000
0.000 0.000 16.047
```

Properties
Its formation energy (no corrections) is 0.04 eV per atom. Its symmetry is R-3m (166). The total energy comes out at -18.9 eV/cell.